First-principles (GGA-PBE) data for a geometry-optimized Tl2Co3 structure, as listed in the Alexandria database.

Geometry as extended XYZ:
```
10
Lattice="-2.894 -4.859 5.836 -6.292 -2.026 2.908 0.263 -5.259 -0.647" Properties=species:S:1:pos:R:3 pbc="T T T"
Tl -5.240 -10.137 6.371
Tl -7.457 -7.549 6.559
Tl -4.256 -4.346 3.570
Tl -3.980 -7.268 5.311
Co -5.823 -7.126 2.496
Co -6.313 -8.627 4.280
Co -2.025 -2.877 2.259
Co -7.963 -10.280 6.850
Co -6.307 -5.974 4.467
Co -3.508 -6.861 2.614
```

Results
* final energy: -4.719 eV/atom
* energy above the lowest structure with this stoichiometry: 41 kJ/mol of formula units
* mass density: 11842 kg/m3
* formation energy: 0.49 eV per atom
* space group: Fdd2 (43)

=====

First-principles (GGA-PBE) data for a geometry-optimized TlCo3 structure, as listed in the Alexandria database.

Geometry as extended XYZ:
```
4
Lattice="-2.251 -3.128 -2.349 0.349 -4.219 -1.564 -2.072 -2.538 3.335" Properties=species:S:1:pos:R:3 pbc="T T T"
Co -1.987 -4.942 -0.289
Co -2.895 -7.393 -0.689
Co -1.079 -2.492 0.110
Tl 0.000 0.000 0.000
```

Results
* final energy: -5.451 eV/atom
* mass density: 11160 kg/m3
* formation energy: 0.47 eV per atom
* space group: C2/m (12)

=====

First-principles (GGA-PBE) data for a geometry-optimized TlCo4 structure, as listed in the Alexandria database.

Geometry as extended XYZ:
```
5
Lattice="-2.791 -1.628 3.431 0.766 -4.412 -1.471 3.720 -0.314 2.877" Properties=species:S:1:pos:R:3 pbc="T T T"
Co 0.000 0.000 0.000
Co 2.243 -2.363 0.703
Co 0.464 -0.971 3.154
Co -1.013 -3.020 0.980
Tl 0.847 -3.177 2.419
```

Results
* final energy: -4.063 eV/atom
* energy above the lowest structure with this stoichiometry: 835 kJ/mol of formula units
* mass density: 6981 kg/m3
* formation energy: 2.09 eV per atom
* space group: Pm-3m (221)

=====

First-principles (GGA-PBE) data for a geometry-optimized TlCo structure, as listed in the Alexandria database.

Geometry as extended XYZ:
```
4
Lattice="6.796 -0.559 -0.332 6.022 3.199 -0.332 6.022 1.240 2.967" Properties=species:S:1:pos:R:3 pbc="T T T"
Tl 8.971 1.847 1.097
Tl 5.159 1.062 0.631
Co 0.618 0.127 0.076
Co 13.512 2.783 1.652
```

Results
* final energy: -4.276 eV/atom
* mass density: 10620 kg/m3
* formation energy: 0.46 eV per atom
* space group: R-3m (166)